[1]
A plane-wave DFT calculation with GGA-PBE was carried out for a geometry-optimized CdCuC2 structure.

Structure (POSCAR):
```
CdCuC2
1.0
-3.120 3.225 -2.098
-3.847 -2.558 1.788
-3.409 2.872 3.637
C Cd Cu
4 2 2
Cartesian
-5.437 2.227 2.735
-8.385 2.916 2.332
-3.066 2.190 -0.033
-3.863 -0.253 1.618
0.000 0.000 0.000
-5.006 3.215 0.692
-3.483 0.333 -0.155
-5.370 0.324 2.635
```

ΔH_f (0 K) ... 1.841 eV/atom
SG ... No. 122
Uncorrected energy ... -4.024 eV/atom

***

[2]
A plane-wave DFT calculation with GGA-PBE was carried out for a geometry-optimized Sm4Ho6Er19 structure.

Structure (POSCAR):
```
Sm4Ho6Er19
1.0
-10.171 1.039 3.224
1.120 -9.204 -5.382
6.471 -0.048 8.547
Ho Er Sm
6 19 4
Cartesian
-0.883 -0.683 6.289
-5.223 -2.547 5.082
2.417 -4.257 5.969
2.643 -5.666 1.308
-4.997 -3.956 0.420
-1.697 -7.530 0.101
-2.731 0.731 8.686
1.691 -1.781 4.109
-7.669 -2.290 0.864
0.348 -5.756 3.508
-3.134 -5.406 2.552
-4.785 -8.283 0.011
-3.882 -1.295 2.484
-4.584 -2.014 8.151
-2.372 -2.140 -0.566
-6.679 -6.025 -1.592
-0.269 -4.753 -0.502
1.990 -2.425 0.830
1.740 0.195 7.858
5.602 -6.827 2.336
3.952 -6.949 5.255
0.000 0.000 0.000
-0.970 0.260 3.085
2.958 -7.362 -1.364
-1.846 -3.584 5.413
-6.529 0.667 2.069
0.719 -5.907 -3.454
4.153 -0.031 5.486
-0.924 -2.941 2.288
```

ΔH_f (0 K) ... 0.396 eV/atom
SG ... No. 197
Uncorrected energy ... -4.192 eV/atom

***

[3]
A plane-wave DFT calculation with GGA-PBE was carried out for a geometry-optimized LiCd2Au2 structure.

Structure (POSCAR):
```
LiCd2Au2
1.0
-2.180 3.399 -1.809
-3.794 -1.434 -3.533
-10.155 -2.146 2.795
Li Au Cd
2 4 4
Cartesian
-11.785 0.425 -1.233
-4.344 -0.606 -1.315
-8.708 1.216 -3.455
-4.213 1.736 -2.484
-7.421 -1.397 0.907
-11.915 -1.917 -0.064
-9.233 -1.019 -1.609
-10.003 -0.016 1.203
-6.126 -0.165 -3.750
-6.896 0.838 -0.938
```

ΔH_f (0 K) ... -0.290 eV/atom
SG ... No. 12
Distance to the lowest polymorph of the same formula ... 10 meV/atom
Uncorrected energy ... -2.350 eV/atom

***

[4]
A plane-wave DFT calculation with GGA-PBE was carried out for a geometry-optimized Tb5Ho2TmMg structure.

Structure (POSCAR):
```
Tb5Ho2TmMg
1.0
5.394 0.000 0.000
-2.697 9.967 0.000
0.000 0.000 10.499
Tm Tb Mg Ho
2 10 2 4
Cartesian
0.000 4.085 0.090
2.697 5.882 5.339
2.697 0.006 2.706
0.000 0.291 0.088
2.697 4.187 2.192
2.697 9.677 5.337
0.000 7.599 0.088
0.000 5.781 7.441
0.000 9.961 7.956
2.697 4.202 8.484
0.000 5.766 3.235
2.697 2.369 5.338
2.697 1.901 0.074
0.000 8.066 5.323
0.000 2.281 7.575
2.697 7.687 2.326
2.697 7.691 8.351
0.000 2.276 3.102
```

ΔH_f (0 K) ... 0.103 eV/atom
SG ... No. 36
Uncorrected energy ... -4.161 eV/atom

***

[5]
A plane-wave DFT calculation with GGA-PBE was carried out for a geometry-optimized HPd3Au3 structure.

Structure (POSCAR):
```
HPd3Au3
1.0
4.731 1.268 -1.269
2.375 6.039 -3.565
-0.413 0.389 8.073
Pd Au H
6 6 2
Cartesian
1.001 0.898 -0.610
3.485 1.758 4.207
6.104 6.409 -4.225
2.297 4.138 3.064
4.396 3.558 0.175
3.207 5.938 -0.968
1.457 4.206 0.407
4.546 4.456 -2.974
4.059 5.884 1.698
2.560 2.851 -1.860
0.505 2.222 4.101
2.633 1.812 1.540
4.058 1.877 -1.517
3.047 5.430 -3.317
```

SG ... No. 12
Uncorrected energy ... -4.101 eV/atom

***

[6]
A plane-wave DFT calculation with GGA-PBE was carried out for a geometry-optimized LiZrIn structure.

Structure (POSCAR):
```
LiZrIn
1.0
4.336 -2.503 0.000
0.000 5.007 0.000
0.000 0.000 5.923
Zr Li In
2 2 2
Cartesian
1.445 2.503 1.481
2.891 0.000 4.442
0.000 0.000 0.000
0.000 0.000 2.961
2.891 0.000 1.481
1.445 2.503 4.442
```

ΔH_f (0 K) ... -0.121 eV/atom
SG ... No. 194
Distance to the lowest polymorph of the same formula ... 102 meV/atom
Uncorrected energy ... -4.521 eV/atom